Entry from Alexandria: a geometry-optimized Sn2GePd structure (GGA-PBE).

It has space group I-42d (No. 122), with a = 6.2737 Å, b = 6.2737 Å, c = 11.7376 Å, α = 90.00°, β = 90.00° and γ = 90.00°. The inequivalent atoms are Sn at (0.2381, 0.2500, 0.1250), Ge at (0.0000, 0.0000, 0.5000) and Pd at (0.0000, 0.0000, 0.0000).

The calculation puts the formation enthalpy at 0 K at 70 meV per atom.